No. 1
# BaPdBr5 (PBE-GGA, optimized geometry)
# Raw formation energy: -1.07 eV/atom
# Spin magnetization: 0.0000 μB per atom
data_BaPdBr5
_chemical_formula_sum 'Ba4 Pd4 Br20'
_cell_length_a 14.233
_cell_length_b 7.052
_cell_length_c 10.505
_cell_angle_alpha 90.00
_cell_angle_beta 111.19
_cell_angle_gamma 90.00
_symmetry_space_group_name_H-M 'C 1 2/c 1'
_symmetry_Int_Tables_number 15
loop_
_symmetry_equiv_pos_as_xyz
'x,y,z'
'-x,-y,-z'
'-x,y,-z+1/2'
'x,-y,z+1/2'
'x+1/2,y+1/2,z'
'-x+1/2,-y+1/2,-z'
'-x+1/2,y+1/2,-z+1/2'
'x+1/2,-y+1/2,z+1/2'
loop_
_atom_site_label
_atom_site_fract_x
_atom_site_fract_y
_atom_site_fract_z
Ba1 0.000 0.011 0.250
Pd1 0.000 0.500 0.000
Br1 0.000 0.476 0.750
Br2 0.122 0.229 0.553
Br3 0.140 0.263 0.083

=====

No. 2
# YZr2Hg (PBE-GGA, optimized geometry)
# Spin magnetization: 0.0000 μB per atom
# Formation enthalpy at 0 K: -138 meV per atom
data_YZr2Hg
_chemical_formula_sum 'Y1 Zr2 Hg1'
_cell_length_a 3.359
_cell_length_b 3.359
_cell_length_c 8.667
_cell_angle_alpha 90.00
_cell_angle_beta 90.00
_cell_angle_gamma 90.00
_symmetry_space_group_name_H-M 'P 4 m m'
_symmetry_Int_Tables_number 99
loop_
_symmetry_equiv_pos_as_xyz
'x,y,z'
'-y,x,z'
'-x,-y,z'
'y,-x,z'
'-x,y,z'
'y,x,z'
'x,-y,z'
'-y,-x,z'
loop_
_atom_site_label
_atom_site_fract_x
_atom_site_fract_y
_atom_site_fract_z
Y1 0.000 0.000 0.000
Zr1 0.000 0.000 0.517
Zr2 0.500 0.500 0.277
Hg1 0.500 0.500 0.747

=====

No. 3
# K3HgIr (PBE-GGA, optimized geometry)
# Spin magnetization: 0.0000 μB per atom
# Formation enthalpy at 0 K: 560 meV per atom
data_K3HgIr
_chemical_formula_sum 'K3 Hg1 Ir1'
_cell_length_a 6.122
_cell_length_b 6.122
_cell_length_c 6.122
_cell_angle_alpha 90.00
_cell_angle_beta 90.00
_cell_angle_gamma 90.00
_symmetry_space_group_name_H-M 'P m -3 m'
_symmetry_Int_Tables_number 221
_symmetry_space_group_name_Hall '-P 4 2 3'
loop_
_atom_site_label
_atom_site_fract_x
_atom_site_fract_y
_atom_site_fract_z
K1 0.000 0.000 0.500
Hg1 0.500 0.500 0.500
Ir1 0.000 0.000 0.000

=====

No. 4
# K2YAg (PBE-GGA, optimized geometry)
# Excess energy over the best structure of this formula in the dataset: 0.327 eV per atom
# Spin magnetization: 0.0003 μB per atom
# Formation enthalpy at 0 K: 415 meV per atom
data_K2YAg
_chemical_formula_sum 'K2 Y1 Ag1'
_cell_length_a 3.701
_cell_length_b 6.575
_cell_length_c 5.874
_cell_angle_alpha 90.00
_cell_angle_beta 94.63
_cell_angle_gamma 90.00
_symmetry_space_group_name_H-M 'P 1 2/m 1'
_symmetry_Int_Tables_number 10
loop_
_symmetry_equiv_pos_as_xyz
'x,y,z'
'-x,-y,-z'
'-x,y,-z'
'x,-y,z'
loop_
_atom_site_label
_atom_site_fract_x
_atom_site_fract_y
_atom_site_fract_z
K1 0.216 0.000 0.268
Y1 0.500 0.500 0.000
Ag1 0.000 0.500 0.500

=====

Looking at calculated total energy for the records above, in order, we have -91.88 -24.41 -9.66 -9.85 eV/cell.